La4Pr8Tm3: optimized geometry, GGA-PBE.

Values from the calculation:
- D(E_F): 28.932 states/eV per cell
- Formation energy from the elements: 0.31 eV/atom
- Total energy: -4.45 eV/atom

Cell: 6.9323 9.5126 9.5126 Å, 86.77 111.35 111.35°
Positions (direct):
La (0.0000, 0.5000, 0.0000)
Tm (0.5000, 0.0000, 0.5000)
Pr (0.0060, 0.7267, 0.7267)
Tm (0.5000, 0.5000, 0.0000)
La (0.5000, 0.0000, 0.0000)
Pr (0.9940, 0.2733, 0.2733)
Pr (0.0000, 0.6450, 0.3550)
Pr (0.0000, 0.3550, 0.6450)
Pr (0.5000, 0.2532, 0.7468)
Pr (0.5000, 0.7468, 0.2532)
Tm (0.5000, 0.5000, 0.5000)
La (0.0000, 0.0000, 0.0000)
Pr (0.4921, 0.7386, 0.7386)
Pr (0.5079, 0.2614, 0.2614)
La (0.0000, 0.0000, 0.5000)